This record from the Alexandria database describes SrW2Cl after structural relaxation. The functional is PBE-GGA.

Computed properties:
- Polymorph energy (0 for the lowest one): 1109 meV per atom
- DFT total energy: -24.5 eV per cell
- Formation energy from raw total energies: 1.2258 eV/atom

abc: 10.126 10.126 10.126
angles: 16.92 16.92 16.92
Atoms (fractional coordinates):
Sr: 0.000 0.000 0.000
W: 0.237 0.237 0.237
W: 0.763 0.763 0.763
Cl: 0.500 0.500 0.500

---

This record from the Alexandria database describes Al2Ag7Au2 after structural relaxation. The functional is PBE-GGA.

Computed properties:
- DFT total energy: -34.8 eV per cell

abc: 4.962 4.962 8.593
angles: 90.59 90.59 111.80
Atoms (fractional coordinates):
Al: 0.235 0.235 0.378
Al: 0.765 0.765 0.622
Ag: 0.000 0.000 0.000
Ag: 0.187 0.563 0.144
Ag: 0.247 0.247 0.707
Ag: 0.437 0.813 0.856
Ag: 0.563 0.187 0.144
Ag: 0.753 0.753 0.293
Ag: 0.813 0.437 0.856
Au: 0.252 0.748 0.500
Au: 0.748 0.252 0.500

---

This record from the Alexandria database describes ZnCd2Os after structural relaxation. The functional is PBE-GGA.

Computed properties:
- DFT total energy: -12.6 eV per cell

abc: 5.308 5.308 5.308
angles: 140.38 133.32 62.85
Atoms (fractional coordinates):
Zn: 0.000 0.000 0.000
Cd: 0.247 0.747 0.500
Cd: 0.753 0.253 0.500
Os: 0.500 0.500 0.000

---

This record from the Alexandria database describes K3RhCl6 after structural relaxation. The functional is PBE-GGA.

Computed properties:
- DFT total energy: -72.0 eV per cell
- Formation energy from raw total energies: -1.4259 eV/atom

abc: 7.283 7.573 12.621
angles: 90.00 124.21 90.00
Atoms (fractional coordinates):
K: 0.000 0.000 0.000
K: 0.000 0.500 0.500
K: 0.277 0.073 0.755
K: 0.277 0.427 0.255
K: 0.723 0.573 0.745
K: 0.723 0.927 0.245
Rh: 0.500 0.000 0.500
Rh: 0.500 0.500 0.000
Cl: 0.184 0.028 0.286
Cl: 0.184 0.472 0.786
Cl: 0.286 0.668 0.052
Cl: 0.286 0.832 0.552
Cl: 0.397 0.235 0.055
Cl: 0.397 0.265 0.555
Cl: 0.603 0.735 0.445
Cl: 0.603 0.765 0.945
Cl: 0.714 0.168 0.448
Cl: 0.714 0.332 0.948
Cl: 0.816 0.528 0.214
Cl: 0.816 0.972 0.714

---

This record from the Alexandria database describes SmTlAuS2 after structural relaxation. The functional is PBE-GGA.

Computed properties:
- DFT total energy: -45.8 eV per cell
- Formation energy from raw total energies: -0.8598 eV/atom

abc: 6.577 5.598 7.772
angles: 90.00 104.55 90.00
Atoms (fractional coordinates):
Sm: 0.000 0.003 0.250
Sm: 0.000 0.997 0.750
Tl: 0.500 0.317 0.250
Tl: 0.500 0.683 0.750
Au: 0.000 0.500 0.000
Au: 0.000 0.500 0.500
S: 0.256 0.189 0.556
S: 0.256 0.811 0.056
S: 0.744 0.189 0.944
S: 0.744 0.811 0.444